A relaxed LiScSiO4 crystal, computed with PBEsol.

Structure (CIF):
```
data_LiScSiO4
_chemical_formula_sum 'Li4 Sc4 Si4 O16'
_cell_length_a 10.421
_cell_length_b 5.953
_cell_length_c 4.808
_cell_angle_alpha 90.00
_cell_angle_beta 90.00
_cell_angle_gamma 90.00
_space_group_name_H-M_alt 'P n m a'
_space_group_IT_number 62
_space_group_name_Hall '-P 2ac 2n'
loop_
_atom_site_label
_atom_site_type_symbol
_atom_site_fract_x
_atom_site_fract_y
_atom_site_fract_z
Li1 Li 0.000 0.000 0.000
Sc1 Sc 0.226 0.250 0.495
Si1 Si 0.091 0.750 0.434
O1 O 0.053 0.250 0.699
O2 O 0.099 0.750 0.770
O3 O 0.169 0.538 0.284
```

Properties
**Fermi-level density of states**: 0.00 states/eV/cell
**Formation energy from raw total energies**: -3009 meV/atom
**Calculated density**: 3.2 g cm⁻³
**Uncorrected energy**: -8.054 eV per atom



A relaxed Sc2Co3 crystal, computed with PBEsol.

Structure (CIF):
```
data_Sc2Co3
_chemical_formula_sum 'Sc6 Co9'
_cell_length_a 4.0097
_cell_length_b 4.0097
_cell_length_c 15.7005
_cell_angle_alpha 90.00
_cell_angle_beta 90.00
_cell_angle_gamma 120.00
_space_group_name_H-M_alt 'R -3 m'
_space_group_IT_number 166
_space_group_name_Hall '-R 3 2"'
loop_
_atom_site_label
_atom_site_type_symbol
_atom_site_fract_x
_atom_site_fract_y
_atom_site_fract_z
Sc1 Sc 0.0000 0.0000 0.0973
Co1 Co 0.0000 0.0000 0.3438
Co2 Co 0.0000 0.0000 0.5000
```

Properties
**Fermi-level density of states**: 12.02 states/eV/cell
**Calculated density**: 6.1 g cm⁻³
**ΔE_f**: -0.12 eV per atom
**Uncorrected energy**: -7.403 eV per atom



A relaxed Be2TlBr crystal, computed with PBEsol.

Structure (CIF):
```
data_Be2TlBr
_chemical_formula_sum 'Be8 Tl4 Br4'
_cell_length_a 5.793
_cell_length_b 5.793
_cell_length_c 9.742
_cell_angle_alpha 90.00
_cell_angle_beta 90.00
_cell_angle_gamma 90.00
_space_group_name_H-M_alt 'I -4 2 d'
_space_group_IT_number 122
_space_group_name_Hall 'I -4 2bw'
loop_
_atom_site_label
_atom_site_type_symbol
_atom_site_fract_x
_atom_site_fract_y
_atom_site_fract_z
Be1 Be 0.236 0.250 0.125
Tl1 Tl 0.000 0.000 0.500
Br1 Br 0.000 0.000 0.000
```

Properties
**Fermi-level density of states**: 1.89 states/eV/cell
**Formation energy from raw total energies**: 521 meV/atom
**Calculated density**: 6.1 g cm⁻³
**Uncorrected energy**: -2.604 eV per atom
**Excess energy over the best structure of this formula in the dataset**: 0 meV per atom



A relaxed MgTiAl3 crystal, computed with PBEsol.

Structure (CIF):
```
data_MgTiAl3
_chemical_formula_sum 'Mg1 Ti1 Al3'
_cell_length_a 4.910
_cell_length_b 4.910
_cell_length_c 4.910
_cell_angle_alpha 90.00
_cell_angle_beta 90.00
_cell_angle_gamma 90.00
_space_group_name_H-M_alt 'P m -3 m'
_space_group_IT_number 221
_space_group_name_Hall '-P 4 2 3'
loop_
_atom_site_label
_atom_site_type_symbol
_atom_site_fract_x
_atom_site_fract_y
_atom_site_fract_z
Mg1 Mg 0.000 0.000 0.000
Ti1 Ti 0.500 0.500 0.500
Al1 Al 0.000 0.500 0.500
```

Properties
**Fermi-level density of states**: 3.23 states/eV/cell
**Calculated density**: 2.1 g cm⁻³
**ΔE_f**: 0.71 eV per atom
**Uncorrected energy**: -3.757 eV per atom